# PBE-GGA TmHfPb2O6, relaxed
# Crystal system: monoclinic
# Uncorrected formation energy, kJ/mol of atoms: -228
data_TmHfPb2O6
_chemical_formula_sum 'Tm2 Hf2 Pb4 O12'
_space_group_name_H-M_alt 'P 1 21/c 1'
_space_group_IT_number 14
_space_group_name_Hall '-P 2ybc'
_cell_length_a 5.820
_cell_length_b 5.978
_cell_length_c 10.183
_cell_angle_alpha 90.00
_cell_angle_beta 124.80
_cell_angle_gamma 90.00
loop_
_atom_site_label
_atom_site_type_symbol
_atom_site_fract_x
_atom_site_fract_y
_atom_site_fract_z
Tm1 Tm 0.000 0.000 0.000
Hf1 Hf 0.500 0.000 0.500
Pb1 Pb 0.242 0.035 0.750
O1 O 0.156 0.190 0.451
O2 O 0.264 0.707 0.449
O3 O 0.359 0.031 0.259